A plane-wave DFT calculation with PBE+U was carried out for crystalline MgNiMoP2O9 at its relaxed geometry. Values from VASP.

Results
volume: 12.54 Å³ per atom
crystal system: orthorhombic
size of the total moment: 4.000 μB/f.u.
uncorrected energy: -6.81 eV per atom
calculated density: 3.64 g/cm³
D(E_F): 0.000 states/eV/f.u.

Quantum ESPRESSO input file:
```
&SYSTEM
  ibrav = 0, nat = 56, ntyp = 5
/
ATOMIC_SPECIES
Mg 24.30 Mg.upf
Ni 58.69 Ni.upf
Mo 95.94 Mo.upf
P 30.97 P.upf
O 16.00 O.upf
CELL_PARAMETERS angstrom
-0.110 -1.897 6.199
-6.427 -3.850 -1.292
7.604 -11.553 -3.401
ATOMIC_POSITIONS crystal
Mg 0.750 0.959 0.808
Mg 0.750 0.541 0.308
Mg 0.250 0.041 0.192
Mg 0.250 0.459 0.692
Ni 0.500 0.000 0.000
Ni 0.500 0.500 0.500
Ni 0.000 0.500 0.500
Ni 0.000 0.000 0.000
Mo 0.750 0.361 0.882
Mo 0.250 0.639 0.118
Mo 0.250 0.861 0.618
Mo 0.750 0.139 0.382
P 0.250 0.349 0.926
P 0.750 0.651 0.074
P 0.750 0.849 0.574
P 0.250 0.151 0.426
P 0.750 0.373 0.688
P 0.250 0.627 0.312
P 0.250 0.873 0.812
P 0.750 0.127 0.188
O 0.046 0.620 0.369
O 0.546 0.380 0.631
O 0.954 0.120 0.131
O 0.454 0.880 0.869
O 0.954 0.380 0.631
O 0.454 0.620 0.369
O 0.046 0.880 0.869
O 0.546 0.120 0.131
O 0.250 0.334 0.473
O 0.750 0.666 0.527
O 0.750 0.834 0.027
O 0.250 0.166 0.973
O 0.750 0.120 0.931
O 0.250 0.880 0.069
O 0.250 0.620 0.569
O 0.750 0.380 0.431
O 0.750 0.204 0.752
O 0.250 0.796 0.248
O 0.250 0.704 0.748
O 0.750 0.296 0.252
O 0.434 0.125 0.359
O 0.934 0.875 0.641
O 0.566 0.625 0.141
O 0.066 0.375 0.859
O 0.566 0.875 0.641
O 0.066 0.125 0.359
O 0.434 0.375 0.859
O 0.934 0.625 0.141
O 0.750 0.978 0.264
O 0.250 0.022 0.736
O 0.250 0.478 0.236
O 0.750 0.522 0.764
O 0.750 0.988 0.495
O 0.250 0.012 0.505
O 0.250 0.488 0.005
O 0.750 0.512 0.995
```